Record 1
A relaxed structure of LiBeI. Source: the Alexandria database, functional PBE.

Cell and atoms, written as POSCAR:
```
LiBeI
1.0
4.214 0.001 0.011
-2.073 4.411 -0.014
-0.249 -2.331 8.329
Li Be I
2 2 2
Cartesian
1.978 0.355 1.860 Li
-0.344 0.333 8.240 Li
-0.284 2.179 2.222 Be
1.839 2.828 1.913 Be
-0.029 0.245 3.787 I
1.801 2.058 7.748 I
```

E_form (uncorrected): -0.174 eV per atom
relative energy among the computed polymorphs: 0.084 eV per atom
space group: No. 1

Record 2
A relaxed structure of Sr2PH. Source: the Alexandria database, functional PBE.

Cell and atoms, written as POSCAR:
```
Sr2PH
1.0
4.378 0.000 0.000
2.189 3.792 0.000
2.189 1.264 6.437
Sr H P
2 1 1
Cartesian
2.189 1.264 1.569 Sr
6.568 3.792 4.869 Sr
4.378 2.528 3.219 H
0.000 0.000 0.000 P
```

relative energy among the computed polymorphs: 0.094 eV per atom
space group: No. 166

Record 3
A relaxed structure of AlZn2BH. Source: the Alexandria database, functional PBE.

Cell and atoms, written as POSCAR:
```
AlZn2BH
1.0
-3.913 -1.295 2.650
-0.873 -2.067 -2.299
2.632 -3.521 2.165
H Zn B Al
1 2 1 1
Cartesian
-0.437 -1.033 -1.150 H
1.316 -1.760 1.083 Zn
-1.956 -0.648 1.325 Zn
-1.077 -3.441 1.258 B
0.000 0.000 0.000 Al
```

space group: No. 123

Record 4
A relaxed structure of AcSmCoCl. Source: the Alexandria database, functional PBE.

Cell and atoms, written as POSCAR:
```
AcSmCoCl
1.0
-2.363 1.074 3.078
-0.069 -3.787 -1.366
7.299 -1.376 3.451
Ac Sm Co Cl
1 1 1 1
Cartesian
3.728 -0.962 3.696 Ac
0.201 -3.583 -0.732 Sm
5.661 -2.977 3.249 Co
0.209 -0.863 3.592 Cl
```

E_form (uncorrected): -0.814 eV per atom
space group: No. 160

Record 5
A relaxed structure of ZrCu2NO. Source: the Alexandria database, functional PBE.

Cell and atoms, written as POSCAR:
```
ZrCu2NO
1.0
-0.401 -2.299 2.571
-0.121 -4.257 -3.826
3.448 -0.323 0.250
O Cu Zr N
1 2 1 1
Cartesian
-0.061 -2.128 -1.913 O
1.724 -0.161 0.125 Cu
-0.201 -1.150 1.285 Cu
1.463 -3.439 -0.503 Zr
0.000 0.000 0.000 N
```

E_form (uncorrected): -0.218 eV per atom
space group: No. 123

Record 6
A relaxed structure of LaIn2Os. Source: the Alexandria database, functional PBE.

Cell and atoms, written as POSCAR:
```
LaIn2Os
1.0
6.394 0.012 -0.009
3.448 5.385 0.009
-4.297 -3.837 2.775
In La Os
2 1 1
Cartesian
0.436 0.239 0.000 In
4.485 2.459 0.000 In
3.509 -0.563 1.383 La
2.036 2.123 1.392 Os
```

calculated formation energy: 29 meV/atom
space group: No. 71

Record 7
A relaxed structure of TbPm2Sn9. Source: the Alexandria database, functional PBE.

Cell and atoms, written as POSCAR:
```
TbPm2Sn9
1.0
4.716 0.000 0.000
0.000 4.716 0.000
0.000 0.000 14.441
Tb Pm Sn
1 2 9
Cartesian
0.000 0.000 0.000 Tb
0.000 0.000 4.801 Pm
0.000 0.000 9.640 Pm
2.358 2.358 0.000 Sn
2.358 2.358 4.793 Sn
2.358 2.358 9.649 Sn
2.358 0.000 2.369 Sn
2.358 0.000 7.221 Sn
2.358 0.000 12.073 Sn
0.000 2.358 2.369 Sn
0.000 2.358 7.221 Sn
0.000 2.358 12.073 Sn
```

calculated formation energy: -471 meV/atom
space group: No. 123

Record 8
A relaxed structure of TlSnHgPb. Source: the Alexandria database, functional PBE.

Cell and atoms, written as POSCAR:
```
TlSnHgPb
1.0
3.386 0.000 0.000
0.000 3.386 0.000
0.000 0.000 10.399
Tl Sn Hg Pb
1 1 1 1
Cartesian
0.000 0.000 0.811 Tl
1.693 1.693 3.394 Sn
1.693 1.693 8.537 Hg
0.000 0.000 5.816 Pb
```

calculated formation energy: 22 meV/atom
relative energy among the computed polymorphs: 0.000 eV per atom
space group: No. 99

Record 9
A relaxed structure of Ti3S2Br4. Source: the Alexandria database, functional PBE.

Cell and atoms, written as POSCAR:
```
Ti3S2Br4
1.0
-2.898 -0.274 1.796
2.286 -2.544 0.043
9.648 8.954 16.935
Ti S Br
3 2 4
Cartesian
3.022 2.805 5.305 Ti
6.626 6.149 11.631 Ti
-1.170 -1.031 1.212 Ti
8.978 8.332 15.759 S
0.670 0.622 1.176 S
2.621 2.487 7.866 Br
6.218 5.826 14.180 Br
1.090 1.066 5.178 Br
4.687 4.405 11.493 Br
```

E_form (uncorrected): -1.123 eV per atom
space group: No. 187

Record 10
A relaxed structure of Tb5Nd2Al. Source: the Alexandria database, functional PBE.

Cell and atoms, written as POSCAR:
```
Tb5Nd2Al
1.0
6.986 0.000 0.000
0.000 6.987 0.000
-3.493 -3.494 5.013
Tb Nd Al
5 2 1
Cartesian
1.746 -1.746 4.733 Tb
-1.746 -1.746 4.732 Tb
1.746 1.746 4.733 Tb
-1.746 1.746 4.732 Tb
3.493 3.493 2.227 Tb
0.000 3.493 2.226 Nd
3.492 0.000 2.226 Nd
0.000 0.000 2.232 Al
```

calculated formation energy: -15 meV/atom
relative energy among the computed polymorphs: 0.040 eV per atom
space group: No. 107

Record 11
A relaxed structure of Zn2Ga2Pb. Source: the Alexandria database, functional PBE.

Cell and atoms, written as POSCAR:
```
Zn2Ga2Pb
1.0
-2.204 -1.383 3.194
3.335 0.241 2.406
-0.876 5.040 4.235
Pb Zn Ga
1 2 2
Cartesian
0.000 0.000 0.000 Pb
0.259 0.621 3.105 Zn
-0.004 3.276 6.730 Zn
-1.257 1.543 5.114 Ga
1.513 2.355 4.721 Ga
```

calculated formation energy: 45 meV/atom
relative energy among the computed polymorphs: 0.000 eV per atom
space group: No. 139

Record 12
A relaxed structure of La6ThIn. Source: the Alexandria database, functional PBE.

Cell and atoms, written as POSCAR:
```
La6ThIn
1.0
5.125 0.000 0.000
0.000 5.125 0.000
0.000 0.000 10.259
La Th In
6 1 1
Cartesian
2.562 2.562 0.000 La
2.562 2.562 5.130 La
2.562 0.000 2.562 La
2.562 0.000 7.698 La
0.000 2.562 2.562 La
0.000 2.562 7.698 La
0.000 0.000 5.130 Th
0.000 0.000 0.000 In
```

calculated formation energy: -126 meV/atom
space group: No. 123

Record 13
A relaxed structure of LiLa2Ni2. Source: the Alexandria database, functional PBE.

Cell and atoms, written as POSCAR:
```
LiLa2Ni2
1.0
-3.432 0.128 -1.064
1.010 -0.811 -3.354
-2.163 -9.616 -0.252
Ni Li La
2 1 2
Cartesian
-3.403 -4.915 -1.763 Ni
-1.182 -5.385 -2.908 Ni
0.000 0.000 0.000 Li
-1.473 -2.891 -1.671 La
-3.113 -7.408 -3.000 La
```

calculated formation energy: 3 meV/atom
relative energy among the computed polymorphs: 0.243 eV per atom
space group: No. 139

Record 14
A relaxed structure of ScZn2Ga. Source: the Alexandria database, functional PBE.

Cell and atoms, written as POSCAR:
```
ScZn2Ga
1.0
-2.562 -3.025 0.258
1.563 -1.604 -3.281
5.796 -7.188 3.870
Sc Zn Ga
2 4 2
Cartesian
-0.499 -2.314 -1.512 Sc
3.430 -5.553 -0.461 Sc
-0.019 -3.961 0.725 Zn
2.167 -3.105 -1.057 Zn
3.935 -7.089 1.848 Zn
3.510 -9.480 0.179 Zn
0.000 0.000 0.000 Ga
1.367 -6.264 1.308 Ga
```

calculated formation energy: -67 meV/atom
space group: No. 122

Record 15
A relaxed structure of CoPb3. Source: the Alexandria database, functional PBE.

Cell and atoms, written as POSCAR:
```
CoPb3
1.0
-0.542 3.246 -0.908
-0.213 -0.966 -3.326
-8.660 -1.194 0.902
Co Pb
1 3
Cartesian
-0.093 -0.013 0.010 Co
-4.935 0.980 0.032 Pb
-7.914 0.101 -1.332 Pb
-2.247 -0.778 -1.440 Pb
```

calculated formation energy: 341 meV/atom
space group: No. 25

Record 16
A relaxed structure of Mg2NbSn. Source: the Alexandria database, functional PBE.

Cell and atoms, written as POSCAR:
```
Mg2NbSn
1.0
-2.126 2.158 7.298
2.437 -6.986 2.776
2.749 -1.335 5.474
Mg Nb Sn
4 2 2
Cartesian
-0.349 0.154 6.317 Mg
1.956 -4.442 3.975 Mg
2.165 -2.773 7.868 Mg
2.347 -5.265 12.935 Mg
0.155 -2.414 5.037 Nb
2.671 -5.368 6.643 Nb
0.000 0.000 0.000 Sn
0.389 -0.796 8.904 Sn
```

calculated formation energy: 414 meV/atom
space group: No. 122

Record 17
A relaxed structure of Sr6Sb3P. Source: the Alexandria database, functional PBE.

Cell and atoms, written as POSCAR:
```
Sr6Sb3P
1.0
-1.873 6.906 -3.613
-4.747 -4.286 -5.733
-9.200 1.182 6.735
Sr Sb P
12 6 2
Cartesian
-10.776 5.142 2.767 Sr
-7.505 4.491 0.268 Sr
-5.639 2.863 -3.040 Sr
-10.180 0.938 0.429 Sr
-8.315 -0.690 -2.879 Sr
-5.043 -1.340 -5.378 Sr
-5.907 0.495 0.400 Sr
-2.432 0.029 -1.853 Sr
-7.568 1.568 4.229 Sr
-8.252 2.234 -6.840 Sr
-13.387 3.773 -0.758 Sr
-9.912 3.307 -3.011 Sr
-12.302 0.572 -2.107 Sb
-3.310 1.310 -4.673 Sb
-3.518 3.230 -0.504 Sb
-5.132 -1.997 -1.694 Sb
-4.600 0.591 3.367 Sb
-10.688 5.798 -0.917 Sb
-7.910 1.901 -1.305 P
0.000 0.000 0.000 P
```

E_form (uncorrected): -1.012 eV per atom
space group: No. 14

Record 18
A relaxed structure of ReW5Se12. Source: the Alexandria database, functional PBE.

Cell and atoms, written as POSCAR:
```
ReW5Se12
1.0
5.712 0.000 0.008
2.856 5.301 0.004
-0.004 0.000 13.771
Re W Se
1 5 12
Cartesian
5.712 0.000 0.008 Re
2.854 0.000 6.889 W
2.854 3.933 6.889 W
5.710 1.369 6.893 W
5.712 3.944 0.008 W
2.856 1.357 0.004 W
4.728 0.000 5.049 Se
0.981 0.000 8.730 Se
3.865 0.000 11.931 Se
4.699 5.301 1.852 Se
3.762 3.425 12.279 Se
1.946 3.425 1.500 Se
6.618 1.876 12.283 Se
4.802 1.876 1.503 Se
3.772 1.857 8.423 Se
6.628 3.445 8.427 Se
1.937 1.857 5.356 Se
4.793 3.445 5.360 Se
```

E_form (uncorrected): -0.363 eV per atom
space group: No. 12

Record 19
A relaxed structure of SrCd5Hg11. Source: the Alexandria database, functional PBE.

Cell and atoms, written as POSCAR:
```
SrCd5Hg11
1.0
6.538 1.142 -1.314
-2.496 7.759 -1.238
0.669 0.494 8.202
Sr Cd Hg
1 5 11
Cartesian
0.000 0.000 0.000 Sr
4.395 1.133 2.023 Cd
0.316 8.262 3.627 Cd
1.348 5.892 6.707 Cd
3.362 3.503 -1.057 Cd
-0.914 4.126 3.482 Cd
1.835 5.698 3.770 Hg
2.876 3.697 1.881 Hg
4.871 2.926 4.445 Hg
-0.160 6.468 1.206 Hg
1.345 3.014 5.694 Hg
3.366 6.381 -0.044 Hg
3.269 0.571 -0.657 Hg
4.046 7.898 2.709 Hg
0.665 1.497 2.941 Hg
-0.127 3.314 0.580 Hg
4.837 6.081 5.070 Hg
```

calculated formation energy: -66 meV/atom
space group: No. 12

Record 20
A relaxed structure of La5Mg2In. Source: the Alexandria database, functional PBE.

Cell and atoms, written as POSCAR:
```
La5Mg2In
1.0
-1.935 -3.679 5.568
6.485 -1.456 -2.027
-0.259 6.737 1.685
La Mg In
5 2 1
Cartesian
1.136 1.943 1.827 La
4.506 -2.155 -0.027 La
0.037 3.471 5.453 La
3.411 -0.626 3.596 La
1.000 5.314 2.667 La
4.379 1.214 0.812 Mg
0.169 0.102 4.610 Mg
3.280 2.741 4.443 In
```

calculated formation energy: -149 meV/atom
space group: No. 107

| no. | E_tot (eV/atom) | total moment (μB/f.u.) |
| --- | --- | --- |
| 1 | -2.571 | 0.00 |
| 2 | -3.832 | 0.00 |
| 3 | -2.175 | 0.00 |
| 4 | -5.259 | 0.00 |
| 5 | -6.223 | 0.00 |
| 6 | -5.379 | 0.00 |
| 7 | -4.651 | 0.00 |
| 8 | -2.573 | 0.00 |
| 9 | -5.415 | 0.17 |
| 10 | -4.569 | 0.00 |
| 11 | -2.417 | 0.00 |
| 12 | -5.092 | 0.00 |
| 13 | -4.663 | 0.75 |
| 14 | -3.044 | 0.00 |
| 15 | -4.216 | 1.11 |
| 16 | -3.902 | 0.00 |
| 17 | -3.799 | 0.00 |
| 18 | -6.976 | 0.91 |
| 19 | -0.630 | 0.00 |
| 20 | -3.970 | 0.00 |